(1)
NaCa2BiS4: optimized geometry, PBE-GGA.

Output
**Crystal system**: monoclinic
**Energy relative to the elements, uncorrected**: -1.411 eV/atom
**Space-group type**: P2/m (10)
**Uncorrected energy**: -4.625 eV/atom
**Fermi-level density of states**: 0.00 states/eV/cell
**Magnetic moment**: 0.00 Bohr magnetons per cell

Lattice parameters (Å, degrees): 6.9904 4.0631 7.0193 90.00 108.62 90.00
Positions (direct):
Na 0.0000 0.0000 0.0000
Ca 0.5000 0.0000 0.5000
Ca 0.5000 0.5000 0.0000
Bi 0.0000 0.5000 0.5000
S 0.2497 0.0000 0.7473
S 0.2574 0.5000 0.2589
S 0.7426 0.5000 0.7411
S 0.7503 0.0000 0.2527



(2)
NaCaBi2S4: optimized geometry, PBE-GGA.

Output
**Crystal system**: monoclinic
**Energy relative to the elements, uncorrected**: -0.862 eV/atom
**Space-group type**: P2/m (10)
**Uncorrected energy**: -4.311 eV/atom
**Fermi-level density of states**: 3.44 states/eV/cell
**Magnetic moment**: 0.00 Bohr magnetons per cell

Lattice parameters (Å, degrees): 7.1089 4.0301 7.7392 90.00 113.96 90.00
Positions (direct):
Na 0.0000 0.0000 0.0000
Ca 0.0000 0.5000 0.5000
Bi 0.5000 0.0000 0.5000
Bi 0.5000 0.5000 0.0000
S 0.2332 0.5000 0.2759
S 0.2742 0.0000 0.7386
S 0.7258 0.0000 0.2614
S 0.7668 0.5000 0.7241



(3)
NaCa2Bi3Se6: optimized geometry, PBE-GGA.

Output
**Crystal system**: monoclinic
**Energy relative to the elements, uncorrected**: -0.874 eV/atom
**Space-group type**: C2/m (12)
**Uncorrected energy**: -4.030 eV/atom
**Fermi-level density of states**: 4.76 states/eV/cell
**Magnetic moment**: 0.00 Bohr magnetons per cell

Lattice parameters (Å, degrees): 9.4065 9.4065 8.2687 99.44 99.44 28.04
Positions (direct):
Na 0.0000 0.0000 0.0000
Ca 0.3337 0.3337 0.6711
Ca 0.6663 0.6663 0.3289
Bi 0.0000 0.0000 0.5000
Bi 0.3349 0.3349 0.1652
Bi 0.6651 0.6651 0.8348
Se 0.1657 0.1657 0.5780
Se 0.1728 0.1728 0.0832
Se 0.4985 0.4985 0.7403
Se 0.5015 0.5015 0.2597
Se 0.8272 0.8272 0.9168
Se 0.8343 0.8343 0.4220